VASP calculation (PBE-GGA) on crystalline HgGeI3 at its relaxed geometry.

Results
**Energy relative to the lowest polymorph listed for this composition**: 536 meV per atom
**Space-group type**: Pm-3m (221)
**Energy relative to the elements, uncorrected**: 36.5 kJ/mol of atoms

Cell: 5.890 5.890 5.890 Å, 90.00 90.00 90.00°
Element x y z (fractional)
Hg 0.000 0.000 0.000
Ge 0.500 0.500 0.500
I 0.000 0.000 0.500
I 0.000 0.500 0.000
I 0.500 0.000 0.000

***

VASP calculation (PBE-GGA) on crystalline Ca2PmAu8 at its relaxed geometry.

Results
**Space-group type**: C2/m (12)
**E_form**: -0.6240 eV/atom

Cell: 8.510 8.510 5.278 Å, 106.66 106.66 125.86°
Element x y z (fractional)
Ca 0.184 0.816 0.000
Ca 0.816 0.184 0.000
Pm 0.500 0.500 0.500
Au 0.019 0.019 0.769
Au 0.145 0.404 0.739
Au 0.296 0.704 0.500
Au 0.404 0.145 0.739
Au 0.596 0.855 0.261
Au 0.704 0.296 0.500
Au 0.855 0.596 0.261
Au 0.981 0.981 0.231

***

VASP calculation (PBE-GGA) on crystalline Ho8Co2Sn at its relaxed geometry.

Results
**Space-group type**: C2/m (12)
**E_form**: -0.1913 eV/atom

Cell: 7.814 7.814 5.280 Å, 97.41 97.41 113.27°
Element x y z (fractional)
Ho 0.110 0.110 0.800
Ho 0.169 0.431 0.427
Ho 0.250 0.750 0.000
Ho 0.431 0.169 0.427
Ho 0.569 0.831 0.573
Ho 0.750 0.250 0.000
Ho 0.831 0.569 0.573
Ho 0.890 0.890 0.200
Co 0.193 0.807 0.500
Co 0.807 0.193 0.500
Sn 0.500 0.500 0.000

***

VASP calculation (PBE-GGA) on crystalline CaFeIr3 at its relaxed geometry.

Results
**Space-group type**: Pm-3m (221)
**E_form**: 0.6959 eV/atom

Cell: 4.573 4.573 4.573 Å, 90.00 90.00 90.00°
Element x y z (fractional)
Ca 0.000 0.000 0.000
Fe 0.500 0.500 0.500
Ir 0.000 0.500 0.500
Ir 0.500 0.000 0.500
Ir 0.500 0.500 0.000

***

VASP calculation (PBE-GGA) on crystalline Al2CuSi at its relaxed geometry.

Results
**Space-group type**: P4/mmm (123)
**Energy relative to the elements, uncorrected**: 1.4 kJ/mol of atoms

Cell: 2.821 2.821 7.230 Å, 90.00 90.00 90.00°
Element x y z (fractional)
Al 0.000 0.000 0.234
Al 0.000 0.000 0.766
Cu 0.500 0.500 0.000
Si 0.500 0.500 0.500

***

VASP calculation (PBE-GGA) on crystalline LaSe2Br at its relaxed geometry.

Results
**Energy relative to the lowest polymorph listed for this composition**: 429 meV per atom
**Space-group type**: P4mm (99)
**Energy relative to the elements, uncorrected**: -94.2 kJ/mol of atoms

Cell: 3.879 3.879 8.057 Å, 90.00 90.00 90.00°
Element x y z (fractional)
La 0.000 0.000 0.000
Se 0.000 0.000 0.359
Se 0.500 0.500 0.199
Br 0.500 0.500 0.778

***

VASP calculation (PBE-GGA) on crystalline Tm2Mn16W at its relaxed geometry.

Results
**Space-group type**: R3m (160)
**E_form**: 0.0013 eV/atom

Cell: 6.340 6.340 6.340 Å, 86.01 86.01 86.01°
Element x y z (fractional)
Tm 0.000 0.000 0.000
Tm 0.289 0.289 0.289
Mn 0.003 0.003 0.521
Mn 0.003 0.521 0.003
Mn 0.145 0.647 0.647
Mn 0.285 0.285 0.772
Mn 0.285 0.772 0.285
Mn 0.369 0.649 0.927
Mn 0.369 0.927 0.649
Mn 0.521 0.003 0.003
Mn 0.647 0.145 0.647
Mn 0.647 0.647 0.145
Mn 0.649 0.369 0.927
Mn 0.649 0.927 0.369
Mn 0.752 0.752 0.752
Mn 0.772 0.285 0.285
Mn 0.927 0.369 0.649
Mn 0.927 0.649 0.369
W 0.547 0.547 0.547

***

VASP calculation (PBE-GGA) on crystalline Mg4Si3 at its relaxed geometry.

Results
**Energy relative to the lowest polymorph listed for this composition**: 72 meV per atom
**Space-group type**: P1 (1)
**Energy relative to the elements, uncorrected**: 3.8 kJ/mol of atoms

Cell: 6.556 8.038 11.398 Å, 88.59 84.10 68.84°
Element x y z (fractional)
Mg 0.000 0.000 0.000
Mg 0.001 0.321 0.258
Mg 0.089 0.401 0.513
Mg 0.108 0.628 0.106
Mg 0.113 0.979 0.489
Mg 0.306 0.925 0.215
Mg 0.333 0.863 0.744
Mg 0.375 0.383 0.746
Mg 0.487 0.580 0.502
Mg 0.501 0.380 0.213
Mg 0.609 0.855 0.983
Mg 0.654 0.915 0.539
Mg 0.793 0.529 0.746
Mg 0.793 0.948 0.250
Mg 0.809 0.040 0.773
Mg 0.846 0.433 0.000
Si 0.044 0.699 0.860
Si 0.064 0.704 0.640
Si 0.118 0.204 0.830
Si 0.179 0.674 0.336
Si 0.249 0.193 0.038
Si 0.381 0.140 0.374
Si 0.424 0.595 0.923
Si 0.570 0.252 0.972
Si 0.687 0.647 0.187
Si 0.698 0.218 0.407
Si 0.764 0.270 0.601
Si 0.825 0.646 0.373

***

VASP calculation (PBE-GGA) on crystalline CoBi2As2 at its relaxed geometry.

Results
**Energy relative to the lowest polymorph listed for this composition**: 263 meV per atom
**Space-group type**: I4/mmm (139)
**E_form**: 0.3713 eV/atom

Cell: 3.551 3.551 19.148 Å, 90.00 90.00 90.00°
Element x y z (fractional)
Co 0.000 0.000 0.000
Co 0.500 0.500 0.500
Bi 0.000 0.000 0.417
Bi 0.000 0.000 0.583
Bi 0.500 0.500 0.083
Bi 0.500 0.500 0.917
As 0.000 0.500 0.250
As 0.000 0.500 0.750
As 0.500 0.000 0.250
As 0.500 0.000 0.750

***

VASP calculation (PBE-GGA) on crystalline Mg5Cd6Pd at its relaxed geometry.

Results
**Space-group type**: C2/m (12)
**E_form**: -0.1550 eV/atom

Cell: 8.195 8.195 4.271 Å, 104.02 104.02 108.00°
Element x y z (fractional)
Mg 0.000 0.000 0.000
Mg 0.171 0.829 0.500
Mg 0.353 0.647 0.000
Mg 0.647 0.353 0.000
Mg 0.829 0.171 0.500
Cd 0.086 0.417 0.253
Cd 0.247 0.247 0.744
Cd 0.417 0.086 0.253
Cd 0.583 0.914 0.747
Cd 0.753 0.753 0.256
Cd 0.914 0.583 0.747
Pd 0.500 0.500 0.500

***

VASP calculation (PBE-GGA) on crystalline TlI3O at its relaxed geometry.

Results
**Energy relative to the lowest polymorph listed for this composition**: 0 meV per atom
**Space-group type**: Pm-3m (221)
**Energy relative to the elements, uncorrected**: 4.8 kJ/mol of atoms

Cell: 5.274 5.274 5.274 Å, 90.00 90.00 90.00°
Element x y z (fractional)
Tl 0.000 0.000 0.000
I 0.000 0.500 0.500
I 0.500 0.000 0.500
I 0.500 0.500 0.000
O 0.500 0.500 0.500

***

| no. | calculated total energy (eV/atom) | spin magnetization (μB/f.u.) |
| --- | --- | --- |
| 1 | -1.536 | 0.804 |
| 2 | -3.803 | 0.000 |
| 3 | -5.176 | 0.001 |
| 4 | -6.714 | 3.947 |
| 5 | -4.236 | 0.000 |
| 6 | -4.369 | 1.822 |
| 7 | -8.873 | 5.625 |
| 8 | -3.196 | 0.000 |
| 9 | -4.462 | 1.130 |
| 10 | -1.710 | 0.000 |
| 11 | -2.345 | 0.000 |